1.
The following is a DFT calculation (meta-GGA SCAN) of a PBEsol-optimized structure of Sc2Be2Cr.

Results
Volume: 76.2 Å³ per cell
Space group: I4/mmm
Size of the total moment: 2.17 Bohr magnetons per cell
D(E_F): 3.32 states/eV/cell
DFT total energy: -10.76 eV/atom
Calculated formation energy: 0.348 eV per atom

```
Sc2Be2Cr
1.0
-1.350 -0.064 2.638
-2.521 -0.843 -1.311
4.215 -7.862 0.302
Sc Cr Be
2 1 2
direct
0.398 0.398 0.795
0.602 0.602 0.205
0.000 0.000 0.000
0.250 0.750 0.500
0.750 0.250 0.500
```


2.
The following is a DFT calculation (meta-GGA SCAN) of a PBEsol-optimized structure of LaTcAs.

Results
Volume: 71.8 Å³ per cell
Space group: F-43m
Size of the total moment: 1.02 Bohr magnetons per cell
D(E_F): 4.13 states/eV/cell
DFT total energy: -31.93 eV/atom
Calculated formation energy: 0.853 eV per atom

```
LaTcAs
1.0
-1.143 -2.921 -3.454
3.301 -1.623 -2.871
1.282 -4.482 0.214
As Tc La
1 1 1
direct
0.500 0.500 0.500
0.000 0.000 0.000
0.250 0.250 0.250
```


3.
The following is a DFT calculation (meta-GGA SCAN) of a PBEsol-optimized structure of KZrB3.

Results
Volume: 72.9 Å³ per cell
Space group: Pm-3m
Size of the total moment: 0.00 Bohr magnetons per cell
D(E_F): 3.24 states/eV/cell
DFT total energy: -9.51 eV/atom
Calculated formation energy: 2.756 eV per atom

```
KZrB3
1.0
4.177 0.000 0.000
0.000 4.177 0.000
0.000 0.000 4.177
K B Zr
1 3 1
direct
0.000 0.000 0.000
0.000 0.500 0.000
0.000 0.000 0.500
0.500 0.000 0.000
0.500 0.500 0.500
```


4.
The following is a DFT calculation (meta-GGA SCAN) of a PBEsol-optimized structure of RbAl2H.

Results
Volume: 99.6 Å³ per cell
Space group: Fm-3m
Size of the total moment: 0.00 Bohr magnetons per cell
D(E_F): 3.92 states/eV/cell
DFT total energy: -8.63 eV/atom

```
RbAl2H
1.0
-1.313 -1.845 4.684
2.708 -3.910 2.108
3.078 0.882 4.100
H Al Rb
1 2 1
direct
0.000 0.000 0.000
0.250 0.250 0.250
0.750 0.750 0.750
0.500 0.500 0.500
```


5.
The following is a DFT calculation (meta-GGA SCAN) of a PBEsol-optimized structure of Tl2InW.

Results
Volume: 85.0 Å³ per cell
Space group: P4/mmm
Size of the total moment: 1.76 Bohr magnetons per cell
D(E_F): 2.23 states/eV/cell
DFT total energy: -60.86 eV/atom
Calculated formation energy: 1.087 eV per atom

```
Tl2InW
1.0
-0.763 -2.807 3.411
-1.166 -3.210 -2.903
4.020 -1.303 -0.174
In Tl W
1 2 1
direct
0.000 0.000 0.500
0.000 0.500 0.000
0.500 0.000 0.000
0.500 0.500 0.500
```


6.
The following is a DFT calculation (meta-GGA SCAN) of a PBEsol-optimized structure of AgHg2As.

Results
Volume: 79.2 Å³ per cell
Space group: Cmmm
Size of the total moment: 0.00 Bohr magnetons per cell
D(E_F): 1.77 states/eV/cell
DFT total energy: -46.72 eV/atom
Calculated formation energy: 0.249 eV per atom

```
AgHg2As
1.0
-2.041 -1.961 0.908
-0.515 -0.759 -2.827
6.327 -6.331 0.548
As Hg Ag
1 2 1
direct
0.500 0.500 0.000
0.000 0.000 0.265
0.000 0.000 0.735
0.500 0.500 0.500
```


7.
The following is a DFT calculation (meta-GGA SCAN) of a PBEsol-optimized structure of Na2O.

Results
Volume: 116.7 Å³ per cell
Space group: P-62m
Size of the total moment: 0.08 Bohr magnetons per cell
D(E_F): 0.00 states/eV/cell
DFT total energy: -6.19 eV/atom

```
Na2O
1.0
-0.182 -2.252 -2.781
-1.445 -4.586 3.808
-4.432 3.432 -2.489
Na O
6 3
direct
0.000 0.587 0.587
0.500 0.740 0.000
0.500 0.000 0.740
0.000 0.000 0.413
0.500 0.260 0.260
0.000 0.413 0.000
0.500 0.667 0.333
0.000 0.000 0.000
0.500 0.333 0.667
```


8.
The following is a DFT calculation (meta-GGA SCAN) of a PBEsol-optimized structure of Li3V4CuO12.

Results
Volume: 231.9 Å³ per cell
Space group: C2
Size of the total moment: 0.04 Bohr magnetons per cell
DFT total energy: -10.74 eV/atom

```
Li3V4CuO12
1.0
5.831 -0.017 -0.016
1.855 6.321 0.254
1.855 0.540 6.303
Li V Cu O
3 4 1 12
direct
0.000 0.921 0.079
0.500 0.720 0.280
0.000 0.276 0.724
0.983 0.382 0.192
0.483 0.194 0.382
0.017 0.808 0.618
0.517 0.618 0.806
0.500 0.077 0.923
0.091 0.219 0.003
0.980 0.626 0.078
0.578 0.004 0.219
0.167 0.320 0.387
0.020 0.922 0.374
0.667 0.389 0.320
0.833 0.613 0.680
0.468 0.083 0.631
0.333 0.680 0.611
0.909 0.997 0.781
0.532 0.369 0.917
0.422 0.781 0.996
```


9.
The following is a DFT calculation (meta-GGA SCAN) of a PBEsol-optimized structure of ZnAgAs2.

Results
Volume: 70.1 Å³ per cell
Space group: F-43m
Size of the total moment: 0.00 Bohr magnetons per cell
D(E_F): 1.98 states/eV/cell
DFT total energy: -20.95 eV/atom
Calculated formation energy: 0.366 eV per atom

```
ZnAgAs2
1.0
-3.726 2.664 0.672
-1.364 1.028 4.302
0.496 4.308 1.618
Ag As Zn
1 2 1
direct
0.500 0.500 0.500
0.000 0.000 0.000
0.250 0.250 0.250
0.750 0.750 0.750
```


10.
The following is a DFT calculation (meta-GGA SCAN) of a PBEsol-optimized structure of NbNi3P2.

Results
Volume: 213.7 Å³ per cell
Space group: Pm
Size of the total moment: 0.00 Bohr magnetons per cell
D(E_F): 6.50 states/eV/cell
DFT total energy: -17.73 eV/atom
Calculated formation energy: -0.659 eV per atom

```
NbNi3P2
1.0
-0.917 -3.060 -1.513
3.260 1.336 -4.676
8.079 -4.632 4.472
Nb Ni P
3 9 6
direct
0.500 0.697 0.706
0.500 0.709 0.293
0.500 0.202 0.799
0.000 0.257 0.005
0.000 0.753 0.501
0.000 0.369 0.366
0.000 0.869 0.887
0.000 0.889 0.130
0.000 0.357 0.613
0.500 0.603 0.014
0.500 0.097 0.480
0.500 0.209 0.197
0.000 0.009 0.337
0.000 0.502 0.844
0.000 0.498 0.161
0.000 0.998 0.663
0.500 0.996 0.009
0.500 0.486 0.495
```


11.
The following is a DFT calculation (meta-GGA SCAN) of a PBEsol-optimized structure of NaBiAs3.

Results
Volume: 121.5 Å³ per cell
Space group: Pm-3m
Size of the total moment: 0.00 Bohr magnetons per cell
D(E_F): 4.60 states/eV/cell
DFT total energy: -27.64 eV/atom
Calculated formation energy: 1.033 eV per atom

```
NaBiAs3
1.0
4.953 0.000 0.000
0.000 4.953 0.000
0.000 0.000 4.953
Na As Bi
1 3 1
direct
0.000 0.000 0.000
0.000 0.500 0.000
0.000 0.000 0.500
0.500 0.000 0.000
0.500 0.500 0.500
```


12.
The following is a DFT calculation (meta-GGA SCAN) of a PBEsol-optimized structure of CdOsRhN2.

Results
Volume: 82.5 Å³ per cell
Space group: P4/mmm
Size of the total moment: 6.79 Bohr magnetons per cell
D(E_F): 3.38 states/eV/cell
DFT total energy: -28.12 eV/atom

```
CdOsRhN2
1.0
3.952 0.000 0.000
0.000 3.952 0.000
0.000 0.000 5.281
Rh N Os Cd
1 2 1 1
direct
0.500 0.500 0.500
0.000 0.500 0.000
0.500 0.000 0.000
0.000 0.000 0.500
0.000 0.000 0.000
```